Crystalline BaLi2Mo2O7 at its relaxed geometry. Source: Alexandria via LeMat-Bulk, functional GGA+U.

The structure in CIF format:
```
data_BaLi2Mo2O7
_space_group_name_H-M_alt 'P 1'
_space_group_IT_number 1
_space_group_name_Hall 'P 1'
_cell_length_a 4.0485
_cell_length_b 4.1174
_cell_length_c 9.2776
_cell_angle_alpha 102.83
_cell_angle_beta 100.88
_cell_angle_gamma 90.00
loop_
_atom_site_label
_atom_site_type_symbol
_atom_site_fract_x
_atom_site_fract_y
_atom_site_fract_z
Ba1 Ba 0.0000 0.0000 0.0000
Li1 Li 0.2500 0.7628 0.5263
Li2 Li 0.7501 0.2372 0.4738
Mo1 Mo 0.4166 0.3812 0.7626
Mo2 Mo 0.5834 0.6187 0.2374
O1 O 0.3997 0.8856 0.7714
O2 O 0.7298 0.7222 0.4443
O3 O 0.1039 0.6086 0.2171
O4 O 0.6003 0.1143 0.2286
O5 O 0.2701 0.2777 0.5557
O6 O 0.8961 0.3913 0.7829
O7 O 0.5000 0.5000 0.0000
```

- raw total energy (eV per atom) = -6.558
- space group = C2/m, No. 12
- spin magnetization (μB/cell) = 2.0

***

Crystalline Ga2NiOsO8 at its relaxed geometry. Source: Alexandria via LeMat-Bulk, functional GGA+U.

The structure in CIF format:
```
data_Ga2NiOsO8
_space_group_name_H-M_alt 'P 1'
_space_group_IT_number 1
_space_group_name_Hall 'P 1'
_cell_length_a 4.6498
_cell_length_b 4.6402
_cell_length_c 6.0261
_cell_angle_alpha 90.00
_cell_angle_beta 90.00
_cell_angle_gamma 93.26
loop_
_atom_site_label
_atom_site_type_symbol
_atom_site_fract_x
_atom_site_fract_y
_atom_site_fract_z
Ga1 Ga 0.5000 0.5000 0.7391
Ga2 Ga 0.5000 0.5000 0.2609
Ni1 Ni 0.0000 0.0000 0.5000
Os1 Os 0.0000 0.0000 0.0000
O1 O 0.1889 0.8088 0.2233
O2 O 0.6963 0.6983 0.0000
O3 O 0.8111 0.1912 0.2233
O4 O 0.8111 0.1912 0.7767
O5 O 0.3037 0.3017 0.0000
O6 O 0.1889 0.8088 0.7767
O7 O 0.6959 0.6981 0.5000
O8 O 0.3041 0.3019 0.5000
```

- raw total energy (eV per atom) = -6.167
- space group = P2/m, No. 10
- spin magnetization (μB/cell) = 1.8